[1]
! SbRuN2 (GGA-PBE, optimized geometry); values from VASP
! - SG: R-3m
! - ΔE_f (raw): 0.770 eV per atom
&SYSTEM
  ibrav = 0, nat = 4, ntyp = 3
/
ATOMIC_SPECIES
Sb 121.76 Sb.upf
N 14.01 N.upf
Ru 101.07 Ru.upf
CELL_PARAMETERS angstrom
1.806 0.000 6.333
-0.903 1.564 6.333
-0.903 -1.564 6.333
ATOMIC_POSITIONS crystal
Sb 0.500 0.500 0.500
N 0.895 0.895 0.895
N 0.105 0.105 0.105
Ru 0.000 0.000 0.000

[2]
! NaTl2Br (GGA-PBE, optimized geometry); values from VASP
! - SG: I-42d
! - ΔE_f (raw): -0.344 eV per atom
! - Energy above the most stable polymorph in this dataset: 0 meV per atom
&SYSTEM
  ibrav = 0, nat = 8, ntyp = 3
/
ATOMIC_SPECIES
Na 22.99 Na.upf
Tl 204.38 Tl.upf
Br 79.90 Br.upf
CELL_PARAMETERS angstrom
-7.740 2.049 4.508
-4.232 -7.080 -4.048
-5.095 -4.417 2.624
ATOMIC_POSITIONS crystal
Na 0.500 0.500 0.000
Na 0.250 0.750 0.500
Tl 0.631 0.125 0.250
Tl 0.119 0.625 0.250
Tl 0.375 0.369 0.750
Tl 0.875 0.881 0.750
Br 0.000 0.000 0.000
Br 0.750 0.250 0.500

| no. | DOS(E_F) (states/eV/atom) |
| --- | --- |
| 1 | 0.798 |
| 2 | 0.587 |